The following is a GGA-PBE calculation of a relaxed structure of Pm3Co, from Alexandria via LeMat-Bulk.

**Distance to the lowest polymorph of the same formula**: 0 meV/atom
**Space group**: P4_2/n, No. 86
**ΔH_f (0 K)**: 0.0 eV per formula unit

a = 11.6487 Å, b = 11.6487 Å, c = 6.4584 Å
α = 90.00°, β = 90.00°, γ = 90.00°
With the nearest neighbours (Å) after each atom.
Fractional positions:
Pm 0.0337 0.5934 0.1914  2 Co 2.72-2.75
Pm 0.0934 0.9663 0.6914  2 Co 2.72-2.75
Pm 0.1109 0.6708 0.6914  1 Co 2.99
Pm 0.1236 0.1865 0.0225  2 Co 2.76-2.95
Pm 0.1708 0.8891 0.1914  1 Co 2.99
Pm 0.1865 0.3764 0.4775  2 Co 2.76-2.95
Pm 0.3135 0.1236 0.4775  2 Co 2.76-2.95
Pm 0.3292 0.6109 0.1914  1 Co 2.99
Pm 0.3764 0.3135 0.0225  2 Co 2.76-2.95
Pm 0.3891 0.8292 0.6914  1 Co 2.99
Pm 0.4066 0.5337 0.6914  2 Co 2.72-2.75
Pm 0.4663 0.9066 0.1914  2 Co 2.72-2.75
Pm 0.5337 0.0934 0.8086  2 Co 2.72-2.75
Pm 0.5934 0.4663 0.3086  2 Co 2.72-2.75
Pm 0.6109 0.1708 0.3086  1 Co 2.99
Pm 0.6236 0.6865 0.9775  2 Co 2.76-2.95
Pm 0.6708 0.3891 0.8086  1 Co 2.99
Pm 0.6865 0.8764 0.5225  2 Co 2.76-2.95
Pm 0.8135 0.6236 0.5225  2 Co 2.76-2.95
Pm 0.8292 0.1109 0.8086  1 Co 2.99
Pm 0.8764 0.8135 0.9775  2 Co 2.76-2.95
Pm 0.8891 0.3292 0.3086  1 Co 2.99
Pm 0.9066 0.0337 0.3086  2 Co 2.72-2.75
Pm 0.9663 0.4066 0.8086  2 Co 2.72-2.75
Co 0.0655 0.1726 0.4896  5 Pm 2.72-2.99
Co 0.1726 0.4345 0.0104  5 Pm 2.72-2.99
Co 0.3274 0.0655 0.0104  5 Pm 2.72-2.99
Co 0.4345 0.3274 0.4896  5 Pm 2.72-2.99
Co 0.5655 0.6726 0.5104  5 Pm 2.72-2.99
Co 0.6726 0.9345 0.9896  5 Pm 2.72-2.99
Co 0.8274 0.5655 0.9896  5 Pm 2.72-2.99
Co 0.9345 0.8274 0.5104  5 Pm 2.72-2.99

The following is a GGA-PBE calculation of a relaxed structure of Ac3TbHg4, from Alexandria via LeMat-Bulk.

**Space group**: P4/mmm, No. 123
**ΔH_f (0 K)**: -3.7 eV per formula unit

a = 3.9510 Å, b = 3.9510 Å, c = 16.0162 Å
α = 90.00°, β = 90.00°, γ = 90.00°
With the nearest neighbours (Å) after each atom.
Fractional positions:
Ac 0.0000 0.0000 0.0000  8 Hg 3.47
Ac 0.0000 0.0000 0.2605  8 Hg 3.50-3.53, 1 Tb 3.84
Ac 0.0000 0.0000 0.7395  8 Hg 3.50-3.53, 1 Tb 3.84
Tb 0.0000 0.0000 0.5000  8 Hg 3.26
Hg 0.5000 0.5000 0.1289  8 Ac 3.47-3.50
Hg 0.5000 0.5000 0.3954  4 Tb 3.26, 1 Hg 3.35, 4 Ac 3.53
Hg 0.5000 0.5000 0.6046  4 Tb 3.26, 1 Hg 3.35, 4 Ac 3.53
Hg 0.5000 0.5000 0.8711  8 Ac 3.47-3.50

The following is a GGA-PBE calculation of a relaxed structure of Co3Sb, from Alexandria via LeMat-Bulk.

**Space group**: R-3m, No. 166
**Formation energy without anion corrections**: 0.381 eV per atom

a = 8.1675 Å, b = 8.1675 Å, c = 2.8557 Å
α = 90.00°, β = 90.00°, γ = 120.00°
With the nearest neighbours (Å) after each atom.
Fractional positions:
Co 0.0000 0.5000 0.0000  2 Sb 2.54, 4 Co 2.54
Co 0.1667 0.3333 0.3333  4 Co 2.54, 2 Sb 2.54
Co 0.1667 0.8333 0.3333  2 Sb 2.54, 4 Co 2.54
Co 0.3333 0.1667 0.6667  4 Co 2.54, 2 Sb 2.54
Co 0.5000 0.0000 0.0000  2 Sb 2.54, 4 Co 2.54
Co 0.5000 0.5000 0.0000  4 Co 2.54, 2 Sb 2.54
Co 0.6667 0.8333 0.3333  4 Co 2.54, 2 Sb 2.54
Co 0.8333 0.1667 0.6667  2 Sb 2.54, 4 Co 2.54
Co 0.8333 0.6667 0.6667  4 Co 2.54, 2 Sb 2.54
Sb 0.0000 0.0000 0.0000  6 Co 2.54
Sb 0.3333 0.6667 0.6667  6 Co 2.54
Sb 0.6667 0.3333 0.3333  6 Co 2.54

The following is a GGA-PBE calculation of a relaxed structure of KZr2Fe, from Alexandria via LeMat-Bulk.

**Distance to the lowest polymorph of the same formula**: 24 meV/atom
**Space group**: C2/m, No. 12
**ΔH_f (0 K)**: 1.3 eV per formula unit

a = 6.9401 Å, b = 3.6700 Å, c = 9.4201 Å
α = 90.00°, β = 100.28°, γ = 90.00°
With the nearest neighbours (Å) after each atom.
Fractional positions:
K 0.0000 0.0000 0.0000  6 K 3.67-3.93, 2 Zr 4.01
K 0.5000 0.5000 0.0000  6 K 3.67-3.93, 2 Zr 4.01
Zr 0.2020 0.0000 0.6269  3 Fe 2.48-2.57
Zr 0.2980 0.5000 0.3731  3 Fe 2.48-2.57
Zr 0.7020 0.5000 0.6269  3 Fe 2.48-2.57
Zr 0.7980 0.0000 0.3731  3 Fe 2.48-2.57
Fe 0.0000 0.5000 0.5000  6 Zr 2.48-2.57
Fe 0.5000 0.0000 0.5000  6 Zr 2.48-2.57

The following is a GGA-PBE calculation of a relaxed structure of GaSb2Pd4, from Alexandria via LeMat-Bulk.

**Distance to the lowest polymorph of the same formula**: 307 meV/atom
**Space group**: I4/mmm, No. 139
**Formation energy without anion corrections**: -0.048 eV per atom

a = 4.6699 Å, b = 4.6699 Å, c = 13.5104 Å
α = 90.00°, β = 90.00°, γ = 90.00°
With the nearest neighbours (Å) after each atom.
Fractional positions:
Ga 0.0000 0.0000 0.0000  6 Pd 2.33-2.41
Ga 0.5000 0.5000 0.5000  6 Pd 2.33-2.41
Sb 0.0000 0.0000 0.3723  5 Pd 2.62-2.90
Sb 0.0000 0.0000 0.6277  5 Pd 2.62-2.90
Sb 0.5000 0.5000 0.1277  5 Pd 2.62-2.90
Sb 0.5000 0.5000 0.8723  5 Pd 2.62-2.90
Pd 0.0000 0.0000 0.1786  1 Ga 2.41, 1 Sb 2.62
Pd 0.0000 0.0000 0.8214  1 Ga 2.41, 1 Sb 2.62
Pd 0.0000 0.5000 0.0000  2 Ga 2.33
Pd 0.0000 0.5000 0.5000  2 Ga 2.33
Pd 0.5000 0.0000 0.0000  2 Ga 2.33
Pd 0.5000 0.0000 0.5000  2 Ga 2.33
Pd 0.5000 0.5000 0.3214  1 Ga 2.41, 1 Sb 2.62
Pd 0.5000 0.5000 0.6786  1 Ga 2.41, 1 Sb 2.62

The following is a GGA-PBE calculation of a relaxed structure of Os3PdPt, from Alexandria via LeMat-Bulk.

**Distance to the lowest polymorph of the same formula**: 0 meV/atom
**Space group**: Pm-3m, No. 221
**ΔH_f (0 K)**: 13.2 eV per formula unit

a = 4.7305 Å, b = 4.7305 Å, c = 4.7305 Å
α = 90.00°, β = 90.00°, γ = 90.00°
With the nearest neighbours (Å) after each atom.
Fractional positions:
Os 0.0000 0.0000 0.5000  2 Pt 2.37
Os 0.0000 0.5000 0.0000  2 Pt 2.37
Os 0.5000 0.0000 0.0000  2 Pt 2.37
Pd 0.5000 0.5000 0.5000  12 Os 3.34
Pt 0.0000 0.0000 0.0000  6 Os 2.37

| no. | energy (eV/atom) | size of the total moment (μB per formula unit) | DOS(E_F) (states/eV/atom) |
| --- | --- | --- | --- |
| 1 | -5.343 | 0.0 | 1.01 |
| 2 | -2.730 | 1.1 | 1.16 |
| 3 | -5.979 | 4.0 | 1.70 |
| 4 | -6.330 | 0.0 | 0.69 |
| 5 | -4.625 | 0.0 | 0.38 |
| 6 | -6.336 | 2.8 | 1.84 |